1.
Compound: Li2ReF
Source: Alexandria
Functional: GGA-PBE
Structure: optimized geometry

abc: 5.1612 5.1612 5.1612
angles: 117.73 117.73 93.98
Sites, in units of the cell vectors:
Li: 0.3750 0.2329 0.3579
Li: 0.7671 0.1250 0.1421
Li: 0.8750 0.0171 0.6421
Li: 0.9829 0.6250 0.8579
Re: 0.2500 0.7500 0.5000
Re: 0.5000 0.5000 0.0000
F: 0.0000 0.0000 0.0000
F: 0.7500 0.2500 0.5000

Calculated values
Excess energy over the best structure of this formula in the dataset   0 meV per atom
Formation energy (no corrections)   -0.259 eV/atom

2.
Compound: InCu3Au12
Source: Alexandria
Functional: GGA-PBE
Structure: optimized geometry

abc: 4.1391 4.1391 16.1848
angles: 90.00 90.00 90.00
Sites, in units of the cell vectors:
In: 0.0000 0.0000 0.0000
Cu: 0.0000 0.0000 0.2591
Cu: 0.0000 0.0000 0.5000
Cu: 0.0000 0.0000 0.7409
Au: 0.0000 0.5000 0.1355
Au: 0.0000 0.5000 0.3790
Au: 0.0000 0.5000 0.6210
Au: 0.0000 0.5000 0.8645
Au: 0.5000 0.0000 0.1355
Au: 0.5000 0.0000 0.3790
Au: 0.5000 0.0000 0.6210
Au: 0.5000 0.0000 0.8645
Au: 0.5000 0.5000 0.0000
Au: 0.5000 0.5000 0.2576
Au: 0.5000 0.5000 0.5000
Au: 0.5000 0.5000 0.7424

Calculated values
Calculated formation energy   -33 meV per atom

3.
Compound: CeU2P3
Source: Alexandria
Functional: GGA-PBE
Structure: optimized geometry

abc: 8.9116 8.9116 8.9116
angles: 154.16 154.16 36.87
Sites, in units of the cell vectors:
Ce: 0.0000 0.0000 0.0000
U: 0.3334 0.3334 0.0000
U: 0.6666 0.6666 0.0000
P: 0.1687 0.1687 0.0000
P: 0.5000 0.5000 0.0000
P: 0.8313 0.8313 0.0000

Calculated values
Excess energy over the best structure of this formula in the dataset   0 meV per atom
Calculated formation energy   -1121 meV per atom

4.
Compound: Dy3TlPd2
Source: Alexandria
Functional: GGA-PBE
Structure: optimized geometry

abc: 3.5625 3.5625 11.1227
angles: 90.00 90.00 90.00
Sites, in units of the cell vectors:
Dy: 0.0000 0.0000 0.0000
Dy: 0.0000 0.0000 0.3091
Dy: 0.0000 0.0000 0.6909
Tl: 0.5000 0.5000 0.5000
Pd: 0.5000 0.5000 0.1594
Pd: 0.5000 0.5000 0.8406

Calculated values
Calculated formation energy   -709 meV per atom

5.
Compound: Ti12Tl3Sn
Source: Alexandria
Functional: GGA-PBE
Structure: optimized geometry

abc: 5.2524 5.2533 10.4918
angles: 90.00 90.00 90.00
Sites, in units of the cell vectors:
Ti: 0.0000 0.0000 0.1237
Ti: 0.0000 0.0000 0.3739
Ti: 0.0000 0.0000 0.6261
Ti: 0.0000 0.0000 0.8763
Ti: 0.2497 0.5000 0.0000
Ti: 0.2506 0.5000 0.5000
Ti: 0.5000 0.2499 0.2518
Ti: 0.5000 0.2499 0.7482
Ti: 0.5000 0.7501 0.2518
Ti: 0.5000 0.7501 0.7482
Ti: 0.7494 0.5000 0.5000
Ti: 0.7503 0.5000 0.0000
Tl: 0.0000 0.5000 0.2497
Tl: 0.0000 0.5000 0.7503
Tl: 0.5000 0.0000 0.0000
Sn: 0.5000 0.0000 0.5000

Calculated values
Calculated formation energy   -81 meV per atom

6.
Compound: Ca3Y
Source: Alexandria
Functional: GGA-PBE
Structure: optimized geometry

abc: 7.1713 7.1713 7.1713
angles: 147.29 129.34 61.62
Sites, in units of the cell vectors:
Ca: 0.0000 0.0000 0.0000
Ca: 0.2532 0.7532 0.5000
Ca: 0.7468 0.2468 0.5000
Y: 0.5000 0.5000 0.0000

Calculated values
Excess energy over the best structure of this formula in the dataset   85 meV per atom
Calculated formation energy   114 meV per atom

7.
Compound: Dy4Tl2TeSe
Source: Alexandria
Functional: GGA-PBE
Structure: optimized geometry

abc: 7.0465 4.0555 8.2507
angles: 90.00 106.36 90.00
Sites, in units of the cell vectors:
Dy: 0.2315 0.0000 0.2283
Dy: 0.2441 0.5000 0.7634
Dy: 0.7559 0.5000 0.2366
Dy: 0.7685 0.0000 0.7717
Tl: 0.0000 0.0000 0.5000
Tl: 0.5000 0.5000 0.5000
Te: 0.5000 0.0000 0.0000
Se: 0.0000 0.5000 0.0000

Calculated values
Formation energy (no corrections)   -0.906 eV/atom

8.
Compound: Y2HfCu
Source: Alexandria
Functional: GGA-PBE
Structure: optimized geometry

abc: 11.1206 11.1206 11.1206
angles: 16.73 16.73 16.73
Sites, in units of the cell vectors:
Y: 0.0977 0.0977 0.0977
Y: 0.9023 0.9023 0.9023
Hf: 0.0000 0.0000 0.0000
Cu: 0.5000 0.5000 0.5000

Calculated values
Excess energy over the best structure of this formula in the dataset   458 meV per atom
Calculated formation energy   430 meV per atom

9.
Compound: FeP2Ir
Source: Alexandria
Functional: GGA-PBE
Structure: optimized geometry

abc: 4.7882 4.7882 4.7882
angles: 146.06 115.78 74.66
Sites, in units of the cell vectors:
Fe: 0.0000 0.0000 0.0000
P: 0.2383 0.7383 0.5000
P: 0.7617 0.2617 0.5000
Ir: 0.5000 0.5000 0.0000

Calculated values
Excess energy over the best structure of this formula in the dataset   609 meV per atom
Calculated formation energy   238 meV per atom

10.
Compound: CeU2PaN4
Source: Alexandria
Functional: GGA-PBE
Structure: optimized geometry

abc: 6.0158 3.4829 6.0590
angles: 90.00 109.46 90.00
Sites, in units of the cell vectors:
Ce: 0.0000 0.0000 0.0000
U: 0.0000 0.5000 0.5000
U: 0.5000 0.0000 0.5000
Pa: 0.5000 0.5000 0.0000
N: 0.2550 0.0000 0.7399
N: 0.2657 0.5000 0.2684
N: 0.7343 0.5000 0.7316
N: 0.7450 0.0000 0.2601

Calculated values
Formation energy (no corrections)   -1.449 eV/atom

11.
Compound: CoPdRh2
Source: Alexandria
Functional: GGA-PBE
Structure: optimized geometry

abc: 3.8173 3.8173 3.8058
angles: 90.00 90.00 90.00
Sites, in units of the cell vectors:
Co: 0.0000 0.0000 0.0000
Pd: 0.5000 0.5000 0.0000
Rh: 0.0000 0.5000 0.5000
Rh: 0.5000 0.0000 0.5000

Calculated values
Excess energy over the best structure of this formula in the dataset   49 meV per atom
Calculated formation energy   93 meV per atom

12.
Compound: InRe2W
Source: Alexandria
Functional: GGA-PBE
Structure: optimized geometry

abc: 2.9136 4.0232 5.7839
angles: 90.00 90.00 90.00
Sites, in units of the cell vectors:
In: 0.0000 0.0000 0.0000
Re: 0.5000 0.5000 0.2860
Re: 0.5000 0.5000 0.7140
W: 0.0000 0.0000 0.5000

Calculated values
Calculated formation energy   444 meV per atom

13.
Compound: PmY2PaP4
Source: Alexandria
Functional: GGA-PBE
Structure: optimized geometry

abc: 6.9455 4.0317 6.9829
angles: 90.00 109.48 90.00
Sites, in units of the cell vectors:
Pm: 0.0000 0.0000 0.0000
Y: 0.5000 0.0000 0.5000
Y: 0.5000 0.5000 0.0000
Pa: 0.0000 0.5000 0.5000
P: 0.2478 0.0000 0.7428
P: 0.2506 0.5000 0.2592
P: 0.7494 0.5000 0.7408
P: 0.7522 0.0000 0.2572

Calculated values
Calculated formation energy   -1536 meV per atom

14.
Compound: CaGa2Pt4
Source: Alexandria
Functional: GGA-PBE
Structure: optimized geometry

abc: 7.8476 7.8476 4.0162
angles: 90.00 90.00 90.00
Sites, in units of the cell vectors:
Ca: 0.0000 0.0000 0.0000
Ca: 0.5000 0.5000 0.5000
Ga: 0.2243 0.2243 0.5000
Ga: 0.2757 0.7243 0.0000
Ga: 0.7243 0.2757 0.0000
Ga: 0.7757 0.7757 0.5000
Pt: 0.0813 0.6658 0.5000
Pt: 0.1658 0.4187 0.0000
Pt: 0.3342 0.9187 0.5000
Pt: 0.4187 0.1658 0.0000
Pt: 0.5813 0.8342 0.0000
Pt: 0.6658 0.0813 0.5000
Pt: 0.8342 0.5813 0.0000
Pt: 0.9187 0.3342 0.5000

Calculated values
Calculated formation energy   -771 meV per atom

15.
Compound: YIClF2
Source: Alexandria
Functional: GGA-PBE
Structure: optimized geometry

abc: 4.6647 4.6647 5.7082
angles: 90.00 90.00 90.00
Sites, in units of the cell vectors:
Y: 0.0000 0.0000 0.0000
I: 0.0000 0.0000 0.5000
Cl: 0.5000 0.5000 0.0000
F: 0.0000 0.5000 0.5000
F: 0.5000 0.0000 0.5000

Calculated values
Formation energy (no corrections)   -1.163 eV/atom

16.
Compound: Zr4BeFe
Source: Alexandria
Functional: GGA-PBE
Structure: optimized geometry

abc: 5.6099 5.6099 5.6099
angles: 60.00 60.00 60.00
Sites, in units of the cell vectors:
Zr: 0.1253 0.1253 0.1253
Zr: 0.1253 0.1253 0.6240
Zr: 0.1253 0.6240 0.1253
Zr: 0.6240 0.1253 0.1253
Be: 0.7500 0.7500 0.7500
Fe: 0.5000 0.5000 0.5000

Calculated values
Excess energy over the best structure of this formula in the dataset   873 meV per atom
Calculated formation energy   791 meV per atom

Number 1: total magnetization 0.000 Bohr magnetons per cell. Number 2: total magnetization 0.000 Bohr magnetons per cell. Number 3: total magnetization 4.677 Bohr magnetons per cell. Number 4: total magnetization 0.000 Bohr magnetons per cell. Number 5: total magnetization 0.002 Bohr magnetons per cell. Number 6: total magnetization 0.415 Bohr magnetons per cell. Number 7: total magnetization 0.000 Bohr magnetons per cell. Number 8: total magnetization 0.000 Bohr magnetons per cell. Number 9: total magnetization 1.853 Bohr magnetons per cell. Number 10: total magnetization 2.287 Bohr magnetons per cell. Number 11: total magnetization 3.277 Bohr magnetons per cell. Number 12: total magnetization 0.000 Bohr magnetons per cell. Number 13: total magnetization 0.000 Bohr magnetons per cell. Number 14: total magnetization 0.000 Bohr magnetons per cell. Number 15: total magnetization 0.000 Bohr magnetons per cell. Number 16: total magnetization 2.583 Bohr magnetons per cell.